First-principles (PBE) data for a relaxed structure of PmBi2PtO8, as listed in Alexandria via LeMat-Bulk.

a = 5.043 Å, b = 5.046 Å, c = 6.925 Å
α = 90.00°, β = 90.00°, γ = 88.85°
Sites, in units of the cell vectors:
O 0.714 0.718 0.000
O 0.814 0.189 0.224
O 0.286 0.282 0.000
O 0.324 0.319 0.500
O 0.186 0.811 0.224
O 0.814 0.189 0.776
O 0.676 0.681 0.500
O 0.186 0.811 0.776
Pm 0.000 0.000 0.500
Bi 0.500 0.500 0.759
Bi 0.500 0.500 0.241
Pt 0.000 0.000 0.000

Summary:
- Space group: P2/m, No. 10



First-principles (PBE) data for a relaxed structure of PmPuBi2O8, as listed in Alexandria via LeMat-Bulk.

a = 5.322 Å, b = 5.319 Å, c = 7.108 Å
α = 89.07°, β = 90.93°, γ = 89.87°
Site moments in Bohr magnetons follow the coordinates.
Sites, in units of the cell vectors:
O 0.687 0.686 0.500  -0.01
O 0.809 0.189 0.762  -0.04
O 0.254 0.257 0.000  -0.07
O 0.746 0.743 0.000  -0.07
O 0.313 0.314 0.500  -0.01
O 0.191 0.811 0.238  -0.04
O 0.172 0.829 0.788  -0.07
O 0.828 0.171 0.212  -0.07
Pm 0.000 0.000 0.500  0.00
Bi 0.486 0.514 0.259  -0.01
Bi 0.514 0.486 0.741  -0.01
Pu 0.000 0.000 0.000  1.47

Summary:
- Space group: P-1, No. 2



First-principles (PBE) data for a relaxed structure of PmPuBiO6, as listed in Alexandria via LeMat-Bulk.

a = 5.911 Å, b = 5.911 Å, c = 9.431 Å
α = 90.00°, β = 90.00°, γ = 120.00°
Site moments in Bohr magnetons follow the coordinates.
Sites, in units of the cell vectors:
O 0.634 0.965 0.867  -0.08
O 0.035 0.669 0.867  -0.08
O 0.366 0.035 0.133  -0.08
O 0.331 0.965 0.633  -0.08
O 0.669 0.035 0.367  -0.08
O 0.669 0.634 0.133  -0.08
O 0.366 0.331 0.367  -0.08
O 0.634 0.669 0.633  -0.08
O 0.965 0.634 0.367  -0.08
O 0.331 0.366 0.867  -0.08
O 0.965 0.331 0.133  -0.08
O 0.035 0.366 0.633  -0.08
Pu 0.667 0.333 0.250  2.49
Pu 0.333 0.667 0.750  2.49
Bi 0.000 0.000 0.000  0.01
Bi 0.000 0.000 0.500  0.01
Pm 0.333 0.667 0.250  0.00
Pm 0.667 0.333 0.750  0.00

Summary:
- Space group: P-31c, No. 163



First-principles (PBE) data for a relaxed structure of RbPmBiO4, as listed in Alexandria via LeMat-Bulk.

a = 7.275 Å, b = 7.264 Å, c = 7.447 Å
α = 120.84°, β = 90.00°, γ = 120.05°
Sites, in units of the cell vectors:
O 0.675 0.945 0.723
O 0.262 0.524 0.320
O 0.262 0.524 0.705
O 0.270 0.945 0.723
O 0.738 0.476 0.295
O 0.325 0.055 0.277
O 0.738 0.476 0.680
O 0.730 0.055 0.277
Bi 0.500 0.500 0.500
Bi 0.000 0.500 0.500
Pm 0.500 0.000 0.500
Pm 0.500 0.000 0.000
Rb 0.879 0.758 0.129
Rb 0.121 0.242 0.871

Summary:
- Space group: Imma, No. 74



First-principles (PBE) data for a relaxed structure of Rb3PmBi2O6, as listed in Alexandria via LeMat-Bulk.

a = 6.318 Å, b = 6.318 Å, c = 6.924 Å
α = 98.74°, β = 98.74°, γ = 120.00°
Sites, in units of the cell vectors:
O 0.062 0.389 0.187
O 0.735 0.735 0.188
O 0.611 0.938 0.813
O 0.938 0.611 0.813
O 0.265 0.265 0.812
O 0.389 0.062 0.187
Rb 0.831 0.169 0.500
Rb 0.169 0.831 0.500
Rb 0.500 0.500 0.500
Bi 0.666 0.334 0.000
Bi 0.334 0.666 0.000
Pm 0.000 0.000 0.000

Summary:
- Space group: C2/m, No. 12



First-principles (PBE) data for a relaxed structure of RbPm2Bi2O6, as listed in Alexandria via LeMat-Bulk.

a = 6.463 Å, b = 7.061 Å, c = 7.398 Å
α = 125.22°, β = 79.54°, γ = 73.30°
Sites, in units of the cell vectors:
O 0.450 0.690 0.974
O 0.094 0.525 0.818
O 0.882 0.099 0.406
O 0.550 0.310 0.026
O 0.118 0.901 0.594
O 0.906 0.475 0.182
Pm 0.166 0.654 0.197
Pm 0.834 0.346 0.803
Bi 0.249 0.736 0.776
Bi 0.751 0.264 0.224
Rb 0.500 0.000 0.500

Summary:
- Space group: P-1, No. 2



First-principles (PBE) data for a relaxed structure of Rb3Pm3BiO8, as listed in Alexandria via LeMat-Bulk.

a = 7.191 Å, b = 7.191 Å, c = 7.865 Å
α = 117.22°, β = 89.99°, γ = 120.01°
Sites, in units of the cell vectors:
O 0.263 0.044 0.326
O 0.782 0.044 0.326
O 0.218 0.956 0.674
O 0.724 0.449 0.673
O 0.782 0.564 0.326
O 0.218 0.436 0.674
O 0.737 0.956 0.674
O 0.276 0.551 0.327
Pm 0.500 0.500 0.500
Pm 0.000 0.500 0.500
Pm 0.500 0.000 0.500
Rb 0.000 0.500 0.000
Rb 0.500 0.500 0.000
Rb 0.000 0.000 0.000
Bi 0.000 0.000 0.500

Summary:
- Space group: R-3m, No. 166



First-principles (PBE) data for a relaxed structure of Rb4PmBi3O12, as listed in Alexandria via LeMat-Bulk.

a = 7.597 Å, b = 7.597 Å, c = 7.597 Å
α = 109.47°, β = 109.47°, γ = 109.47°
Site moments in Bohr magnetons follow the coordinates.
Sites, in units of the cell vectors:
O 0.500 0.750 0.250  0.19
O 0.250 0.750 0.500  0.19
O 0.750 0.500 0.250  0.19
O 0.736 0.736 0.000  0.10
O 0.250 0.500 0.750  0.19
O 0.264 0.264 0.000  0.10
O 0.000 0.736 0.736  0.10
O 0.500 0.250 0.750  0.19
O 0.000 0.264 0.264  0.10
O 0.736 0.000 0.736  0.10
O 0.750 0.250 0.500  0.19
O 0.264 0.000 0.264  0.10
Rb 0.000 0.500 0.000  0.00
Rb 0.500 0.500 0.500  0.00
Rb 0.000 0.000 0.500  0.00
Rb 0.500 0.000 0.000  0.00
Bi 0.500 0.500 0.000  -0.03
Bi 0.500 0.000 0.500  -0.03
Bi 0.000 0.500 0.500  -0.03
Pm 0.000 0.000 0.000  -0.02

Summary:
- Space group: Im-3m, No. 229



First-principles (PBE) data for a relaxed structure of RbPmBiO3, as listed in Alexandria via LeMat-Bulk.

a = 3.609 Å, b = 8.632 Å, c = 9.490 Å
α = 90.00°, β = 90.00°, γ = 102.07°
Sites, in units of the cell vectors:
O 0.590 0.181 0.015
O 0.989 0.977 0.750
O 0.590 0.181 0.485
O 0.011 0.023 0.250
O 0.410 0.819 0.985
O 0.410 0.819 0.515
Bi 0.379 0.759 0.750
Bi 0.621 0.241 0.250
Pm 0.000 0.000 0.000
Pm 0.000 0.000 0.500
Rb 0.344 0.689 0.250
Rb 0.656 0.311 0.750

Summary:
- Space group: Cmcm, No. 63



First-principles (PBE) data for a relaxed structure of RbPmBi4O8, as listed in Alexandria via LeMat-Bulk.

a = 7.204 Å, b = 7.204 Å, c = 7.358 Å
α = 60.69°, β = 60.69°, γ = 60.00°
Sites, in units of the cell vectors:
Bi 0.485 0.001 0.514
Bi 0.623 0.623 0.130
Bi 0.001 0.001 0.514
Bi 0.001 0.485 0.514
O 0.231 0.231 0.716
O 0.231 0.821 0.716
O 0.770 0.233 0.227
O 0.821 0.231 0.716
O 0.770 0.770 0.227
O 0.744 0.744 0.767
O 0.233 0.770 0.227
O 0.222 0.222 0.333
Rb 0.369 0.369 0.894
Pm 0.998 0.998 0.007

Summary:
- Space group: R3m, No. 160



First-principles (PBE) data for a relaxed structure of Rb2PmBi2O6, as listed in Alexandria via LeMat-Bulk.

a = 6.607 Å, b = 6.258 Å, c = 7.678 Å
α = 112.14°, β = 90.00°, γ = 121.86°
Site moments in Bohr magnetons follow the coordinates.
Sites, in units of the cell vectors:
O 0.731 0.462 0.531  0.15
O 0.297 0.097 0.744  0.07
O 0.703 0.903 0.256  0.07
O 0.800 0.097 0.744  0.07
O 0.200 0.903 0.256  0.07
O 0.269 0.538 0.469  0.15
Rb 0.699 0.397 0.145  0.00
Rb 0.301 0.603 0.855  0.00
Bi 0.932 0.863 0.757  0.06
Bi 0.068 0.137 0.243  0.06
Pm 0.500 0.000 0.500  0.01

Summary:
- Space group: C2/m, No. 12



First-principles (PBE) data for a relaxed structure of Rb2PmBiO4, as listed in Alexandria via LeMat-Bulk.

a = 3.644 Å, b = 6.307 Å, c = 6.927 Å
α = 107.60°, β = 90.00°, γ = 90.00°
Sites, in units of the cell vectors:
Rb 0.500 0.000 0.500
Rb 0.000 0.500 0.500
O 0.000 0.722 0.183
O 0.500 0.236 0.188
O 0.000 0.278 0.817
O 0.500 0.764 0.812
Bi 0.000 0.000 0.000
Pm 0.500 0.500 0.000

Summary:
- Space group: P2/m, No. 10



First-principles (PBE) data for a relaxed structure of Rb4Pm3BiO8, as listed in Alexandria via LeMat-Bulk.

a = 7.277 Å, b = 7.827 Å, c = 7.276 Å
α = 117.71°, β = 120.00°, γ = 90.00°
Sites, in units of the cell vectors:
O 0.769 0.316 0.047
O 0.278 0.316 0.047
O 0.231 0.684 0.953
O 0.274 0.321 0.547
O 0.722 0.684 0.953
O 0.231 0.684 0.462
O 0.769 0.316 0.538
O 0.726 0.679 0.453
Rb 0.000 0.000 0.000
Rb 0.500 0.000 0.500
Rb 0.000 0.000 0.500
Rb 0.500 0.000 0.000
Pm 0.500 0.500 0.500
Pm 0.000 0.500 0.500
Pm 0.500 0.500 0.000
Bi 0.000 0.500 0.000

Summary:
- Space group: R-3m, No. 166



First-principles (PBE) data for a relaxed structure of Pm2ReBiO8, as listed in Alexandria via LeMat-Bulk.

a = 5.170 Å, b = 5.165 Å, c = 6.976 Å
α = 90.00°, β = 90.00°, γ = 90.62°
Sites, in units of the cell vectors:
O 0.738 0.740 0.000
O 0.262 0.260 0.000
O 0.822 0.179 0.798
O 0.309 0.307 0.500
O 0.178 0.821 0.798
O 0.691 0.693 0.500
O 0.822 0.179 0.202
O 0.178 0.821 0.202
Pm 0.500 0.500 0.248
Pm 0.500 0.500 0.752
Re 0.000 0.000 0.000
Bi 0.000 0.000 0.500

Summary:
- Space group: P2/m, No. 10



First-principles (PBE) data for a relaxed structure of PmReBi2O8, as listed in Alexandria via LeMat-Bulk.

a = 5.260 Å, b = 5.259 Å, c = 6.815 Å
α = 90.00°, β = 89.99°, γ = 88.86°
Sites, in units of the cell vectors:
O 0.751 0.755 0.000
O 0.823 0.180 0.209
O 0.177 0.820 0.791
O 0.823 0.180 0.791
O 0.313 0.311 0.500
O 0.249 0.245 0.000
O 0.687 0.689 0.500
O 0.177 0.820 0.209
Bi 0.500 0.500 0.753
Bi 0.500 0.500 0.247
Re 0.000 0.000 0.000
Pm 0.000 0.000 0.500

Summary:
- Space group: P2/m, No. 10



First-principles (PBE) data for a relaxed structure of PmReBiO6, as listed in Alexandria via LeMat-Bulk.

a = 5.651 Å, b = 5.651 Å, c = 4.848 Å
α = 90.01°, β = 89.99°, γ = 59.98°
Site moments in Bohr magnetons follow the coordinates.
Sites, in units of the cell vectors:
Pm 0.667 0.667 0.500  0.01
O 0.050 0.332 0.273  0.01
O 0.332 0.050 0.727  0.01
O 0.618 0.050 0.273  0.01
O 0.618 0.332 0.727  0.01
O 0.332 0.618 0.273  0.01
O 0.050 0.618 0.727  0.01
Re 0.333 0.333 0.500  0.39
Bi 0.000 0.000 0.000  0.04

Summary:
- Space group: P312, No. 149



First-principles (PBE) data for a relaxed structure of PmBiRhO6, as listed in Alexandria via LeMat-Bulk.

a = 5.631 Å, b = 5.631 Å, c = 9.178 Å
α = 90.00°, β = 90.00°, γ = 120.00°
Site moments in Bohr magnetons follow the coordinates.
Sites, in units of the cell vectors:
O 0.956 0.630 0.373  0.04
O 0.326 0.956 0.627  0.04
O 0.956 0.326 0.127  0.04
O 0.044 0.674 0.873  0.04
O 0.630 0.956 0.873  0.04
O 0.370 0.044 0.127  0.04
O 0.326 0.370 0.873  0.04
O 0.044 0.370 0.627  0.04
O 0.630 0.674 0.627  0.04
O 0.674 0.630 0.127  0.04
O 0.674 0.044 0.373  0.04
O 0.370 0.326 0.373  0.04
Pm 0.667 0.333 0.750  0.00
Pm 0.333 0.667 0.250  0.00
Bi 0.000 0.000 0.500  -0.01
Bi 0.000 0.000 0.000  -0.01
Rh 0.333 0.667 0.750  0.28
Rh 0.667 0.333 0.250  0.28

Summary:
- Space group: P-31c, No. 163



First-principles (PBE) data for a relaxed structure of PmBi2RhO8, as listed in Alexandria via LeMat-Bulk.

a = 5.038 Å, b = 5.036 Å, c = 6.892 Å
α = 90.00°, β = 90.00°, γ = 88.80°
Site moments in Bohr magnetons follow the coordinates.
Sites, in units of the cell vectors:
O 0.282 0.274 0.000  0.09
O 0.185 0.808 0.778  0.04
O 0.185 0.808 0.222  0.04
O 0.815 0.192 0.778  0.04
O 0.815 0.192 0.222  0.04
O 0.325 0.316 0.500  0.00
O 0.675 0.684 0.500  0.00
O 0.718 0.726 0.000  0.09
Bi 0.500 0.500 0.759  0.00
Bi 0.500 0.500 0.241  0.00
Rh 0.000 0.000 0.000  0.49
Pm 0.000 0.000 0.500  0.00

Summary:
- Space group: P2/m, No. 10



First-principles (PBE) data for a relaxed structure of PmBi2RhO6, as listed in Alexandria via LeMat-Bulk.

a = 5.620 Å, b = 6.234 Å, c = 8.264 Å
α = 90.00°, β = 90.92°, γ = 90.00°
Sites, in units of the cell vectors:
O 0.872 0.564 0.230
O 0.814 0.775 0.920
O 0.178 0.161 0.472
O 0.678 0.339 0.972
O 0.322 0.661 0.028
O 0.314 0.725 0.420
O 0.822 0.839 0.528
O 0.128 0.436 0.770
O 0.686 0.275 0.580
O 0.372 0.936 0.730
O 0.628 0.064 0.270
O 0.186 0.225 0.080
Bi 0.514 0.556 0.776
Bi 0.486 0.444 0.224
Bi 0.986 0.056 0.724
Bi 0.014 0.944 0.276
Rh 0.000 0.500 0.000
Rh 0.500 0.000 0.500
Pm 0.000 0.500 0.500
Pm 0.500 0.000 0.000

Summary:
- Space group: P2_1/c, No. 14



Number 1: final energy -6.124 eV/atom, uncorrected formation energy -1272 meV per atom. Number 2: final energy -7.638 eV/atom, uncorrected formation energy -2095 meV per atom. Number 3: final energy -8.221 eV/atom, uncorrected formation energy -2364 meV per atom. Number 4: final energy -6.103 eV/atom, uncorrected formation energy -1899 meV per atom. Number 5: final energy -5.480 eV/atom, uncorrected formation energy -1717 meV per atom. Number 6: final energy -6.380 eV/atom, uncorrected formation energy -2018 meV per atom. Number 7: final energy -6.345 eV/atom, uncorrected formation energy -2298 meV per atom. Number 8: final energy -5.265 eV/atom, uncorrected formation energy -1276 meV per atom. Number 9: final energy -5.974 eV/atom, uncorrected formation energy -1895 meV per atom. Number 10: final energy -5.932 eV/atom, uncorrected formation energy -1581 meV per atom. Number 11: final energy -5.605 eV/atom, uncorrected formation energy -1587 meV per atom. Number 12: final energy -5.739 eV/atom, uncorrected formation energy -1939 meV per atom. Number 13: final energy -6.123 eV/atom, uncorrected formation energy -2268 meV per atom. Number 14: final energy -7.692 eV/atom, uncorrected formation energy -2234 meV per atom. Number 15: final energy -7.167 eV/atom, uncorrected formation energy -1782 meV per atom. Number 16: final energy -7.549 eV/atom, uncorrected formation energy -1901 meV per atom. Number 17: final energy -6.486 eV/atom, uncorrected formation energy -1405 meV per atom. Number 18: final energy -6.276 eV/atom, uncorrected formation energy -1315 meV per atom. Number 19: final energy -6.527 eV/atom, uncorrected formation energy -1566 meV per atom.